VASP calculation (PBE) on a relaxed structure of NpTlZn2F8.

The structure in POSCAR format:
```
NpTlZn2F8
1.0
2.7462 1.5855 8.0149
-2.7462 1.5855 8.0149
0.0000 -3.1710 8.0149
Np Tl Zn F
1 1 2 8
direct
0.0000 0.0000 0.0000 Np
0.5000 0.5000 0.5000 Tl
0.2410 0.2410 0.2410 Zn
0.7590 0.7590 0.7590 Zn
0.0441 0.4027 0.7232 F
0.1635 0.1635 0.1635 F
0.2768 0.9559 0.5973 F
0.4027 0.7232 0.0441 F
0.5973 0.2768 0.9559 F
0.7232 0.0441 0.4027 F
0.8365 0.8365 0.8365 F
0.9559 0.5973 0.2768 F
```

The calculation puts the formation energy from raw total energies at -2.51 eV/atom. The symmetry is R-3. For the magnetic moment, the calculation gives 4.0 Bohr magnetons per cell.

VASP calculation (PBE) on a relaxed structure of NpTlZnF6.

The structure in POSCAR format:
```
NpTlZnF6
1.0
6.0086 0.0000 0.0000
-3.0043 5.2036 0.0000
0.0000 0.0000 11.2191
Np Tl Zn F
2 2 2 12
direct
0.3333 0.6667 0.2500 Np
0.6667 0.3333 0.7500 Np
0.0000 0.0000 0.0000 Tl
0.0000 0.0000 0.5000 Tl
0.3333 0.6667 0.7500 Zn
0.6667 0.3333 0.2500 Zn
0.0266 0.3961 0.6479 F
0.0266 0.6305 0.8521 F
0.3695 0.3961 0.8521 F
0.3695 0.9734 0.6479 F
0.3961 0.0266 0.1479 F
0.3961 0.3695 0.3521 F
0.6039 0.6305 0.6479 F
0.6039 0.9734 0.8521 F
0.6305 0.0266 0.3521 F
0.6305 0.6039 0.1479 F
0.9734 0.3695 0.1479 F
0.9734 0.6039 0.3521 F
```

The calculation puts the formation energy from raw total energies at -2.65 eV/atom. The symmetry is P-31c. For the magnetic moment, the calculation gives 8.0 Bohr magnetons per cell.

VASP calculation (PBE) on a relaxed structure of Tm2NpF11.

The structure in POSCAR format:
```
Tm2NpF11
1.0
-3.9649 5.0977 5.5066
3.9649 -5.0977 5.5066
3.9649 5.0977 -5.5066
Tm Np F
4 2 22
direct
0.1814 0.1335 0.3150 Tm
0.3186 0.6335 0.9521 Tm
0.6814 0.3665 0.0479 Tm
0.8186 0.8665 0.6850 Tm
0.2500 0.7500 0.5000 Np
0.7500 0.2500 0.5000 Np
0.0000 0.0000 0.0000 F
0.0235 0.4473 0.7711 F
0.0724 0.8495 0.6463 F
0.1762 0.9473 0.4238 F
0.2033 0.4261 0.3537 F
0.2261 0.8716 0.0977 F
0.2739 0.3716 0.6455 F
0.2967 0.6505 0.2229 F
0.3238 0.7476 0.7711 F
0.4276 0.0739 0.7771 F
0.4765 0.2476 0.4238 F
0.5000 0.5000 0.0000 F
0.5235 0.7524 0.5762 F
0.5724 0.9261 0.2229 F
0.6762 0.2524 0.2289 F
0.7033 0.3495 0.7771 F
0.7261 0.6284 0.3545 F
0.7739 0.1284 0.9023 F
0.7967 0.5739 0.6463 F
0.8238 0.0527 0.5762 F
0.9276 0.1505 0.3537 F
0.9765 0.5527 0.2289 F
```

The calculation puts the formation energy from raw total energies at -3.72 eV/atom. The symmetry is Ibam. For the magnetic moment, the calculation gives 4.0 Bohr magnetons per cell.

VASP calculation (PBE) on a relaxed structure of TmNp2F8.

The structure in POSCAR format:
```
TmNp2F8
1.0
6.4151 -1.9948 0.0000
6.4151 1.9948 0.0000
-1.3987 0.0000 7.3841
Tm Np F
1 2 8
direct
0.0000 0.0000 0.0000 Tm
0.2372 0.2372 0.7355 Np
0.7628 0.7628 0.2645 Np
0.0572 0.0572 0.7497 F
0.1877 0.1877 0.0697 F
0.3018 0.3018 0.4418 F
0.4283 0.4283 0.8710 F
0.5717 0.5717 0.1290 F
0.6982 0.6982 0.5582 F
0.8123 0.8123 0.9303 F
0.9428 0.9428 0.2503 F
```

The calculation puts the formation energy from raw total energies at -3.45 eV/atom. The symmetry is C2/m. For the magnetic moment, the calculation gives 9.0 Bohr magnetons per cell.

VASP calculation (PBE) on a relaxed structure of NpU2F8.

The structure in POSCAR format:
```
NpU2F8
1.0
-1.9746 3.4586 5.5239
1.9746 -3.4586 5.5239
1.9746 3.4586 -5.5239
Np U F
1 2 8
direct
0.0000 0.0000 0.0000 Np
0.3110 0.3110 0.0000 U
0.6890 0.6890 0.0000 U
0.1244 0.8397 0.2847 F
0.1435 0.6435 0.5000 F
0.3175 0.5000 0.8175 F
0.4450 0.1603 0.2847 F
0.5550 0.8397 0.7153 F
0.6825 0.5000 0.1825 F
0.8565 0.3565 0.5000 F
0.8756 0.1603 0.7153 F
```

The calculation puts the formation energy from raw total energies at -3.15 eV/atom. The symmetry is Immm. For the magnetic moment, the calculation gives 11.0 Bohr magnetons per cell.

VASP calculation (PBE) on a relaxed structure of NpUF6.

The structure in POSCAR format:
```
NpUF6
1.0
5.5977 0.0000 0.0000
0.0000 5.5977 0.0000
0.0000 0.0000 8.3056
Np U F
2 2 12
direct
0.0000 0.0000 0.0000 Np
0.0000 0.0000 0.5000 Np
0.5000 0.5000 0.2500 U
0.5000 0.5000 0.7500 U
0.1792 0.2645 0.1799 F
0.1792 0.2645 0.8201 F
0.2645 0.8208 0.3201 F
0.2645 0.8208 0.6799 F
0.2994 0.3407 0.5000 F
0.3407 0.7006 0.0000 F
0.6593 0.2994 0.0000 F
0.7006 0.6593 0.5000 F
0.7355 0.1792 0.3201 F
0.7355 0.1792 0.6799 F
0.8208 0.7355 0.1799 F
0.8208 0.7355 0.8201 F
```

The calculation puts the formation energy from raw total energies at -3.36 eV/atom. The symmetry is P4_2/m. For the magnetic moment, the calculation gives 3.0 Bohr magnetons per cell.